Entry 1:
# Rb2BeVO4, optimized geometry, DFT PBE with a Hubbard U
data_Rb2BeVO4
_cell_length_a 4.7401
_cell_length_b 12.1204
_cell_length_c 20.2477
_cell_angle_alpha 90.00
_cell_angle_beta 90.00
_cell_angle_gamma 90.00
_space_group_name_H-M_alt 'F d d d'
_space_group_IT_number 70
loop_
_space_group_symop_operation_xyz
'x,y,z'
'-x,-y,-z'
'-x+1/4,-y+1/4,z'
'x+1/4,y+1/4,-z'
'x,-y+1/4,-z+1/4'
'-x,y+1/4,z+1/4'
'-x+1/4,y,-z+1/4'
'x+1/4,-y,z+1/4'
'x,y+1/2,z+1/2'
'-x,-y+1/2,-z+1/2'
'-x+1/4,-y+3/4,z+1/2'
'x+1/4,y+3/4,-z+1/2'
'x,-y+3/4,-z+3/4'
'-x,y+3/4,z+3/4'
'-x+1/4,y+1/2,-z+3/4'
'x+1/4,-y+1/2,z+3/4'
'x+1/2,y,z+1/2'
'-x+1/2,-y,-z+1/2'
'-x+3/4,-y+1/4,z+1/2'
'x+3/4,y+1/4,-z+1/2'
'x+1/2,-y+1/4,-z+3/4'
'-x+1/2,y+1/4,z+3/4'
'-x+3/4,y,-z+3/4'
'x+3/4,-y,z+3/4'
'x+1/2,y+1/2,z'
'-x+1/2,-y+1/2,-z'
'-x+3/4,-y+3/4,z'
'x+3/4,y+3/4,-z'
'x+1/2,-y+3/4,-z+1/4'
'-x+1/2,y+3/4,z+1/4'
'-x+3/4,y+1/2,-z+1/4'
'x+3/4,-y+1/2,z+1/4'
loop_
_atom_site_label
_atom_site_type_symbol
_atom_site_fract_x
_atom_site_fract_y
_atom_site_fract_z
Rb1 Rb 0.1250 0.1250 0.2972
Be1 Be 0.1250 0.1250 0.1250
V1 V 0.1250 0.1250 0.6250
O1 O 0.1015 0.2950 0.4169
# magnetic moment = 8.00 Bohr magnetons per cell
# total DFT energy (no corrections) = -6.09 eV per atom

Entry 2:
# RbBeVO4, optimized geometry, DFT PBE with a Hubbard U
data_RbBeVO4
_cell_length_a 4.8982
_cell_length_b 5.4017
_cell_length_c 6.9060
_cell_angle_alpha 90.00
_cell_angle_beta 93.38
_cell_angle_gamma 90.00
_space_group_name_H-M_alt 'P 1 21/m 1'
_space_group_IT_number 11
_space_group_name_Hall '-P 2yb'
loop_
_atom_site_label
_atom_site_type_symbol
_atom_site_fract_x
_atom_site_fract_y
_atom_site_fract_z
Rb1 Rb 0.2210 0.2500 0.0726
Be1 Be 0.3551 0.2500 0.6334
V1 V 0.1802 0.7500 0.4751
O1 O 0.1262 0.0257 0.6500
O2 O 0.3468 0.7500 0.2441
O3 O 0.4794 0.2500 0.4223
# magnetic moment = 0.00 Bohr magnetons per cell
# total DFT energy (no corrections) = -6.55 eV per atom

> Look up the total DFT energy (no corrections) of the first one.

-6.09 eV per atom

Please write out number 2 again, unchanged.
# RbBeVO4, optimized geometry, DFT PBE with a Hubbard U
data_RbBeVO4
_cell_length_a 4.8982
_cell_length_b 5.4017
_cell_length_c 6.9060
_cell_angle_alpha 90.00
_cell_angle_beta 93.38
_cell_angle_gamma 90.00
_space_group_name_H-M_alt 'P 1 21/m 1'
_space_group_IT_number 11
_space_group_name_Hall '-P 2yb'
loop_
_atom_site_label
_atom_site_type_symbol
_atom_site_fract_x
_atom_site_fract_y
_atom_site_fract_z
Rb1 Rb 0.2210 0.2500 0.0726
Be1 Be 0.3551 0.2500 0.6334
V1 V 0.1802 0.7500 0.4751
O1 O 0.1262 0.0257 0.6500
O2 O 0.3468 0.7500 0.2441
O3 O 0.4794 0.2500 0.4223
# magnetic moment = 0.00 Bohr magnetons per cell
# total DFT energy (no corrections) = -6.55 eV per atom

> Number 1 is which compound?

Rb2BeVO4